1.
# PBE Mn2SbBr, optimized geometry
data_Mn2SbBr
_cell_length_a 4.9991
_cell_length_b 4.9991
_cell_length_c 7.0621
_cell_angle_alpha 90.00
_cell_angle_beta 90.00
_cell_angle_gamma 90.00
_symmetry_space_group_name_H-M 'I 4/m m m'
_symmetry_Int_Tables_number 139
_symmetry_space_group_name_Hall '-I 4 2'
loop_
_atom_site_label
_atom_site_fract_x
_atom_site_fract_y
_atom_site_fract_z
Mn1 0.0000 0.5000 0.2500
Sb1 0.0000 0.0000 0.0000
Br1 0.0000 0.0000 0.5000
# - energy above the lowest structure with this stoichiometry (meV per atom) = 434.8

---

2.
# PBE MnSbBr2, optimized geometry
data_MnSbBr2
_cell_length_a 7.3256
_cell_length_b 7.3256
_cell_length_c 7.3256
_cell_angle_alpha 90.00
_cell_angle_beta 90.00
_cell_angle_gamma 90.00
_symmetry_space_group_name_H-M 'F -4 3 m'
_symmetry_Int_Tables_number 216
_symmetry_space_group_name_Hall 'F -4 2 3'
loop_
_atom_site_label
_atom_site_fract_x
_atom_site_fract_y
_atom_site_fract_z
Mn1 0.0000 0.0000 0.0000
Sb1 0.2500 0.2500 0.2500
Br1 0.0000 0.0000 0.5000
Br2 0.2500 0.2500 0.7500
# - energy above the lowest structure with this stoichiometry (meV per atom) = 642.7

---

3.
# PBE Mn2SbBr, optimized geometry
data_Mn2SbBr
_cell_length_a 6.2027
_cell_length_b 6.2027
_cell_length_c 13.1032
_cell_angle_alpha 90.00
_cell_angle_beta 90.00
_cell_angle_gamma 90.00
_symmetry_space_group_name_H-M 'I -4 2 d'
_symmetry_Int_Tables_number 122
_symmetry_space_group_name_Hall 'I -4 2bw'
loop_
_atom_site_label
_atom_site_fract_x
_atom_site_fract_y
_atom_site_fract_z
Mn1 0.2368 0.2500 0.1250
Sb1 0.0000 0.0000 0.0000
Br1 0.0000 0.0000 0.5000
# - energy above the lowest structure with this stoichiometry (meV per atom) = 192.7

---

4.
# PBE Mn2SbBr, optimized geometry
data_Mn2SbBr
_cell_length_a 3.9648
_cell_length_b 3.9648
_cell_length_c 20.6483
_cell_angle_alpha 90.00
_cell_angle_beta 90.00
_cell_angle_gamma 120.00
_symmetry_space_group_name_H-M 'R -3 m'
_symmetry_Int_Tables_number 166
_symmetry_space_group_name_Hall '-R 3 2"'
loop_
_atom_site_label
_atom_site_fract_x
_atom_site_fract_y
_atom_site_fract_z
Mn1 0.0000 0.0000 0.2412
Sb1 0.0000 0.0000 0.5000
Br1 0.0000 0.0000 0.0000
# - energy above the lowest structure with this stoichiometry (meV per atom) = 112.1

---

5.
# PBE MnSb2Br, optimized geometry
data_MnSb2Br
_cell_length_a 3.3549
_cell_length_b 4.9558
_cell_length_c 12.3272
_cell_angle_alpha 90.00
_cell_angle_beta 90.00
_cell_angle_gamma 90.00
_symmetry_space_group_name_H-M 'I m m m'
_symmetry_Int_Tables_number 71
_symmetry_space_group_name_Hall '-I 2 2'
loop_
_atom_site_label
_atom_site_fract_x
_atom_site_fract_y
_atom_site_fract_z
Mn1 0.0000 0.0000 0.0000
Sb1 0.0000 0.5000 0.3023
Br1 0.0000 0.0000 0.5000
# - energy above the lowest structure with this stoichiometry (meV per atom) = 223.0

---

6.
# PBE MnSbBr2, optimized geometry
data_MnSbBr2
_cell_length_a 3.6086
_cell_length_b 3.6086
_cell_length_c 36.5721
_cell_angle_alpha 90.00
_cell_angle_beta 90.00
_cell_angle_gamma 120.00
_symmetry_space_group_name_H-M 'R -3 m'
_symmetry_Int_Tables_number 166
_symmetry_space_group_name_Hall '-R 3 2"'
loop_
_atom_site_label
_atom_site_fract_x
_atom_site_fract_y
_atom_site_fract_z
Mn1 0.0000 0.0000 0.0000
Sb1 0.0000 0.0000 0.5000
Br1 0.0000 0.0000 0.2887
# - energy above the lowest structure with this stoichiometry (meV per atom) = 29.4

---

7.
# PBE Mn2SbBr, optimized geometry
data_Mn2SbBr
_cell_length_a 4.1785
_cell_length_b 5.4242
_cell_length_c 7.5820
_cell_angle_alpha 90.00
_cell_angle_beta 90.00
_cell_angle_gamma 90.00
_symmetry_space_group_name_H-M 'C m m m'
_symmetry_Int_Tables_number 65
_symmetry_space_group_name_Hall '-C 2 2'
loop_
_atom_site_label
_atom_site_fract_x
_atom_site_fract_y
_atom_site_fract_z
Mn1 0.0000 0.0000 0.2339
Sb1 0.0000 0.5000 0.0000
Br1 0.0000 0.5000 0.5000
# - energy above the lowest structure with this stoichiometry (meV per atom) = 257.3

---

8.
# PBE Mn2SbBr, optimized geometry
data_Mn2SbBr
_cell_length_a 3.4274
_cell_length_b 3.4274
_cell_length_c 7.1901
_cell_angle_alpha 90.00
_cell_angle_beta 90.00
_cell_angle_gamma 90.00
_symmetry_space_group_name_H-M 'P 4/m m m'
_symmetry_Int_Tables_number 123
_symmetry_space_group_name_Hall '-P 4 2'
loop_
_atom_site_label
_atom_site_fract_x
_atom_site_fract_y
_atom_site_fract_z
Mn1 0.0000 0.0000 0.2096
Sb1 0.5000 0.5000 0.0000
Br1 0.5000 0.5000 0.5000
# - energy above the lowest structure with this stoichiometry (meV per atom) = 265.7

---

9.
# PBE MnSbBr, optimized geometry
data_MnSbBr
_cell_length_a 6.7679
_cell_length_b 6.7679
_cell_length_c 6.7679
_cell_angle_alpha 90.00
_cell_angle_beta 90.00
_cell_angle_gamma 90.00
_symmetry_space_group_name_H-M 'F -4 3 m'
_symmetry_Int_Tables_number 216
_symmetry_space_group_name_Hall 'F -4 2 3'
loop_
_atom_site_label
_atom_site_fract_x
_atom_site_fract_y
_atom_site_fract_z
Mn1 0.0000 0.0000 0.0000
Sb1 0.2500 0.2500 0.7500
Br1 0.2500 0.2500 0.2500
# - energy above the lowest structure with this stoichiometry (meV per atom) = 452.0

---

10.
# PBE MnSbBr2, optimized geometry
data_MnSbBr2
_cell_length_a 3.4824
_cell_length_b 3.4824
_cell_length_c 8.7485
_cell_angle_alpha 90.00
_cell_angle_beta 90.00
_cell_angle_gamma 90.00
_symmetry_space_group_name_H-M 'P 4 m m'
_symmetry_Int_Tables_number 99
_symmetry_space_group_name_Hall 'P 4 -2'
loop_
_atom_site_label
_atom_site_fract_x
_atom_site_fract_y
_atom_site_fract_z
Mn1 0.0000 0.0000 0.0000
Sb1 0.5000 0.5000 0.2102
Br1 0.0000 0.0000 0.4364
Br2 0.5000 0.5000 0.8348
# - energy above the lowest structure with this stoichiometry (meV per atom) = 187.5

---

11.
# PBE MnSbBr2, optimized geometry
data_MnSbBr2
_cell_length_a 4.7692
_cell_length_b 3.4682
_cell_length_c 6.1756
_cell_angle_alpha 90.00
_cell_angle_beta 90.35
_cell_angle_gamma 90.00
_symmetry_space_group_name_H-M 'P 1 2/m 1'
_symmetry_Int_Tables_number 10
_symmetry_space_group_name_Hall '-P 2y'
loop_
_atom_site_label
_atom_site_fract_x
_atom_site_fract_y
_atom_site_fract_z
Mn1 0.0000 0.0000 0.0000
Sb1 0.0000 0.5000 0.5000
Br1 0.5000 0.0000 0.5000
Br2 0.5000 0.5000 0.0000
# - energy above the lowest structure with this stoichiometry (meV per atom) = 390.5

---

12.
# PBE MnSb2Br, optimized geometry
data_MnSb2Br
_cell_length_a 3.4476
_cell_length_b 3.4476
_cell_length_c 7.9194
_cell_angle_alpha 90.00
_cell_angle_beta 90.00
_cell_angle_gamma 90.00
_symmetry_space_group_name_H-M 'P 4/m m m'
_symmetry_Int_Tables_number 123
_symmetry_space_group_name_Hall '-P 4 2'
loop_
_atom_site_label
_atom_site_fract_x
_atom_site_fract_y
_atom_site_fract_z
Mn1 0.0000 0.0000 0.0000
Sb1 0.5000 0.5000 0.1968
Br1 0.0000 0.0000 0.5000
# - energy above the lowest structure with this stoichiometry (meV per atom) = 139.0

---

13.
# PBE Mn2SbBr, optimized geometry
data_Mn2SbBr
_cell_length_a 3.9480
_cell_length_b 6.2917
_cell_length_c 7.5957
_cell_angle_alpha 90.00
_cell_angle_beta 90.00
_cell_angle_gamma 90.00
_symmetry_space_group_name_H-M 'I m m m'
_symmetry_Int_Tables_number 71
_symmetry_space_group_name_Hall '-I 2 2'
loop_
_atom_site_label
_atom_site_fract_x
_atom_site_fract_y
_atom_site_fract_z
Mn1 0.0000 0.0000 0.2436
Sb1 0.0000 0.5000 0.0000
Br1 0.0000 0.5000 0.5000
# - energy above the lowest structure with this stoichiometry (meV per atom) = 364.8

---

14.
# PBE MnSbBr2, optimized geometry
data_MnSbBr2
_cell_length_a 3.5851
_cell_length_b 3.5851
_cell_length_c 29.4986
_cell_angle_alpha 90.00
_cell_angle_beta 90.00
_cell_angle_gamma 120.00
_symmetry_space_group_name_H-M 'R -3 m'
_symmetry_Int_Tables_number 166
_symmetry_space_group_name_Hall '-R 3 2"'
loop_
_atom_site_label
_atom_site_fract_x
_atom_site_fract_y
_atom_site_fract_z
Mn1 0.0000 0.0000 0.0000
Sb1 0.0000 0.0000 0.5000
Br1 0.0000 0.0000 0.0806
# - energy above the lowest structure with this stoichiometry (meV per atom) = 400.0

---

15.
# PBE MnSbBr2, optimized geometry
data_MnSbBr2
_cell_length_a 14.3548
_cell_length_b 3.5385
_cell_length_c 5.6305
_cell_angle_alpha 90.00
_cell_angle_beta 105.15
_cell_angle_gamma 90.00
_symmetry_space_group_name_H-M 'C 1 m 1'
_symmetry_Int_Tables_number 8
_symmetry_space_group_name_Hall 'C -2y'
loop_
_atom_site_label
_atom_site_fract_x
_atom_site_fract_y
_atom_site_fract_z
Mn1 0.0000 0.0000 0.0000
Sb1 0.3578 0.0000 0.7594
Br1 0.1296 0.5000 0.0699
Br2 0.4172 0.0000 0.3272
# - energy above the lowest structure with this stoichiometry (meV per atom) = 0.0

---

16.
# PBE MnSbBr2, optimized geometry
data_MnSbBr2
_cell_length_a 4.7707
_cell_length_b 4.7707
_cell_length_c 4.4542
_cell_angle_alpha 90.00
_cell_angle_beta 90.00
_cell_angle_gamma 90.00
_symmetry_space_group_name_H-M 'P 4/m m m'
_symmetry_Int_Tables_number 123
_symmetry_space_group_name_Hall '-P 4 2'
loop_
_atom_site_label
_atom_site_fract_x
_atom_site_fract_y
_atom_site_fract_z
Mn1 0.0000 0.0000 0.0000
Sb1 0.5000 0.5000 0.0000
Br1 0.0000 0.5000 0.5000
# - energy above the lowest structure with this stoichiometry (meV per atom) = 600.2

---

17.
# PBE Mn2SbBr, optimized geometry
data_Mn2SbBr
_cell_length_a 7.0471
_cell_length_b 7.0471
_cell_length_c 7.0471
_cell_angle_alpha 90.00
_cell_angle_beta 90.00
_cell_angle_gamma 90.00
_symmetry_space_group_name_H-M 'F -4 3 m'
_symmetry_Int_Tables_number 216
_symmetry_space_group_name_Hall 'F -4 2 3'
loop_
_atom_site_label
_atom_site_fract_x
_atom_site_fract_y
_atom_site_fract_z
Mn1 0.0000 0.0000 0.0000
Mn2 0.2500 0.2500 0.2500
Sb1 0.2500 0.2500 0.7500
Br1 0.0000 0.0000 0.5000
# - energy above the lowest structure with this stoichiometry (meV per atom) = 730.7

---

18.
# PBE MnSb2Br, optimized geometry
data_MnSb2Br
_cell_length_a 7.6173
_cell_length_b 7.8234
_cell_length_c 3.2475
_cell_angle_alpha 90.00
_cell_angle_beta 90.00
_cell_angle_gamma 90.00
_symmetry_space_group_name_H-M 'C m m m'
_symmetry_Int_Tables_number 65
_symmetry_space_group_name_Hall '-C 2 2'
loop_
_atom_site_label
_atom_site_fract_x
_atom_site_fract_y
_atom_site_fract_z
Mn1 0.0000 0.0000 0.0000
Sb1 0.2500 0.2500 0.5000
Br1 0.0000 0.5000 0.0000
# - energy above the lowest structure with this stoichiometry (meV per atom) = 464.0

---

19.
# PBE MnSb2Br, optimized geometry
data_MnSb2Br
_cell_length_a 6.9166
_cell_length_b 4.0117
_cell_length_c 8.5459
_cell_angle_alpha 90.00
_cell_angle_beta 105.78
_cell_angle_gamma 90.00
_symmetry_space_group_name_H-M 'C 1 2/m 1'
_symmetry_Int_Tables_number 12
_symmetry_space_group_name_Hall '-C 2y'
loop_
_atom_site_label
_atom_site_fract_x
_atom_site_fract_y
_atom_site_fract_z
Mn1 0.0000 0.0000 0.0000
Sb1 0.1119 0.5000 0.8389
Br1 0.0000 0.5000 0.5000
# - energy above the lowest structure with this stoichiometry (meV per atom) = 63.3

---

20.
# PBE MnSbBr2, optimized geometry
data_MnSbBr2
_cell_length_a 3.6659
_cell_length_b 5.9521
_cell_length_c 12.4422
_cell_angle_alpha 90.00
_cell_angle_beta 90.00
_cell_angle_gamma 90.00
_symmetry_space_group_name_H-M 'C m m m'
_symmetry_Int_Tables_number 65
_symmetry_space_group_name_Hall '-C 2 2'
loop_
_atom_site_label
_atom_site_fract_x
_atom_site_fract_y
_atom_site_fract_z
Mn1 0.0000 0.0000 0.0000
Sb1 0.0000 0.0000 0.5000
Br1 0.0000 0.5000 0.1435
# - energy above the lowest structure with this stoichiometry (meV per atom) = 157.5